--- a ---
{
  "formula": "Cs2PtF6",
  "functional": "GGA-PBE",
  "state": "optimized geometry",
  "cell": [[0.000, 4.612, 4.612], [4.612, 0.000, 4.612], [4.612, 4.612, 0.000]],
  "species": ["Cs", "Cs", "Pt", "F", "F", "F", "F", "F", "F"],
  "fractional_positions": [[0.250, 0.250, 0.250], [0.750, 0.750, 0.750], [0.000, 0.000, 0.000], [0.215, 0.215, 0.785], [0.215, 0.785, 0.215], [0.215, 0.785, 0.785], [0.785, 0.215, 0.215], [0.785, 0.215, 0.785], [0.785, 0.785, 0.215]]
}

---

--- b ---
{
  "formula": "Cs2PtF6",
  "functional": "GGA-PBE",
  "state": "optimized geometry",
  "cell": [[6.333, 0.000, 0.000], [-3.167, 5.485, 0.000], [0.000, 0.000, 5.188]],
  "species": ["Cs", "Cs", "Pt", "F", "F", "F", "F", "F", "F"],
  "fractional_positions": [[0.333, 0.667, 0.209], [0.667, 0.333, 0.791], [0.000, 0.000, 0.500], [0.151, 0.302, 0.710], [0.151, 0.849, 0.710], [0.302, 0.151, 0.290], [0.698, 0.849, 0.710], [0.849, 0.151, 0.290], [0.849, 0.698, 0.290]]
}

---

Which one is most stable, and which one is least stable? a is the most stable of them, while b is the least stable.

---

--- a ---
{
  "formula": "Cs2PuF5",
  "functional": "GGA-PBE",
  "state": "optimized geometry",
  "cell": [[-3.600, 3.600, 4.284], [3.600, -3.600, 4.284], [3.600, 3.600, -4.284]],
  "species": ["Cs", "Cs", "Pu", "F", "F", "F", "F", "F"],
  "fractional_positions": [[0.000, 0.500, 0.500], [0.500, 0.000, 0.500], [0.252, 0.252, 0.000], [0.004, 0.004, 0.000], [0.077, 0.077, 0.569], [0.077, 0.508, 0.000], [0.508, 0.077, 0.000], [0.508, 0.508, 0.431]]
}

---

--- b ---
{
  "formula": "Cs2PuF5",
  "functional": "GGA-PBE",
  "state": "optimized geometry",
  "cell": [[12.167, 0.000, 0.000], [0.000, 7.978, 0.000], [0.000, 0.000, 7.279]],
  "species": ["Cs", "Cs", "Cs", "Cs", "Cs", "Cs", "Cs", "Cs", "Pu", "Pu", "Pu", "Pu", "F", "F", "F", "F", "F", "F", "F", "F", "F", "F", "F", "F", "F", "F", "F", "F", "F", "F", "F", "F"],
  "fractional_positions": [[0.168, 0.002, 0.037], [0.168, 0.498, 0.037], [0.332, 0.502, 0.537], [0.332, 0.998, 0.537], [0.668, 0.002, 0.463], [0.668, 0.498, 0.463], [0.832, 0.502, 0.963], [0.832, 0.998, 0.963], [0.001, 0.250, 0.548], [0.499, 0.750, 0.048], [0.501, 0.250, 0.952], [0.999, 0.750, 0.452], [0.016, 0.250, 0.868], [0.067, 0.531, 0.642], [0.067, 0.969, 0.642], [0.161, 0.250, 0.383], [0.178, 0.750, 0.358], [0.322, 0.250, 0.858], [0.339, 0.750, 0.883], [0.433, 0.031, 0.142], [0.433, 0.469, 0.142], [0.484, 0.750, 0.368], [0.516, 0.250, 0.632], [0.567, 0.531, 0.858], [0.567, 0.969, 0.858], [0.661, 0.250, 0.117], [0.678, 0.750, 0.142], [0.822, 0.250, 0.642], [0.839, 0.750, 0.617], [0.933, 0.031, 0.358], [0.933, 0.469, 0.358], [0.984, 0.750, 0.132]]
}

---

Which one is most stable, and which one is least stable? b is the most stable of them, while a is the least stable.

---

--- a ---
{
  "formula": "CsPuF4",
  "functional": "GGA-PBE",
  "state": "optimized geometry",
  "cell": [[4.546, -5.564, 0.000], [4.546, 5.564, 0.000], [-4.539, 0.000, 4.559]],
  "species": ["Cs", "Cs", "Pu", "Pu", "F", "F", "F", "F", "F", "F", "F", "F"],
  "fractional_positions": [[0.125, 0.875, 0.750], [0.875, 0.125, 0.250], [0.375, 0.625, 0.250], [0.625, 0.375, 0.750], [0.001, 0.502, 0.191], [0.310, 0.311, 0.809], [0.311, 0.310, 0.309], [0.498, 0.999, 0.309], [0.502, 0.001, 0.691], [0.689, 0.690, 0.691], [0.690, 0.689, 0.191], [0.999, 0.498, 0.809]]
}

---

--- b ---
{
  "formula": "CsPuF4",
  "functional": "GGA-PBE",
  "state": "optimized geometry",
  "cell": [[6.624, 0.000, 0.000], [0.000, 3.859, 0.000], [0.000, 0.000, 16.961]],
  "species": ["Cs", "Cs", "Cs", "Cs", "Pu", "Pu", "Pu", "Pu", "F", "F", "F", "F", "F", "F", "F", "F", "F", "F", "F", "F", "F", "F", "F", "F"],
  "fractional_positions": [[0.229, 0.250, 0.195], [0.271, 0.750, 0.695], [0.729, 0.250, 0.305], [0.771, 0.750, 0.805], [0.248, 0.750, 0.445], [0.252, 0.250, 0.945], [0.748, 0.750, 0.055], [0.752, 0.250, 0.555], [0.010, 0.750, 0.950], [0.110, 0.250, 0.822], [0.117, 0.250, 0.380], [0.126, 0.250, 0.539], [0.374, 0.750, 0.039], [0.383, 0.750, 0.880], [0.390, 0.750, 0.322], [0.490, 0.250, 0.450], [0.510, 0.750, 0.550], [0.610, 0.250, 0.678], [0.617, 0.250, 0.120], [0.626, 0.250, 0.961], [0.874, 0.750, 0.461], [0.883, 0.750, 0.620], [0.890, 0.750, 0.178], [0.990, 0.250, 0.050]]
}

---

Which one is most stable, and which one is least stable? b is the most stable of them, while a is the least stable.

---

--- a ---
{
  "formula": "CsPu2F8",
  "functional": "GGA-PBE",
  "state": "optimized geometry",
  "cell": [[5.530, 0.000, 0.000], [0.000, 5.530, 0.000], [0.000, 0.000, 7.323]],
  "species": ["Cs", "Pu", "Pu", "F", "F", "F", "F", "F", "F", "F", "F"],
  "fractional_positions": [[0.000, 0.000, 0.000], [0.000, 0.500, 0.500], [0.500, 0.000, 0.500], [0.248, 0.248, 0.326], [0.248, 0.248, 0.674], [0.248, 0.752, 0.326], [0.248, 0.752, 0.674], [0.752, 0.248, 0.326], [0.752, 0.248, 0.674], [0.752, 0.752, 0.326], [0.752, 0.752, 0.674]]
}

---

--- b ---
{
  "formula": "CsPu2F8",
  "functional": "GGA-PBE",
  "state": "optimized geometry",
  "cell": [[3.593, -5.740, 0.000], [3.593, 5.740, 0.000], [-0.437, 0.000, 4.510]],
  "species": ["Cs", "Pu", "Pu", "F", "F", "F", "F", "F", "F", "F", "F"],
  "fractional_positions": [[0.000, 0.000, 0.000], [0.328, 0.672, 0.500], [0.672, 0.328, 0.500], [0.034, 0.341, 0.561], [0.287, 0.713, 0.000], [0.341, 0.034, 0.561], [0.404, 0.404, 0.257], [0.596, 0.596, 0.743], [0.659, 0.966, 0.439], [0.713, 0.287, 0.000], [0.966, 0.659, 0.439]]
}

---

Which one is most stable, and which one is least stable? b is the most stable of them, while a is the least stable.

---

--- a ---
{
  "formula": "CsRbF2",
  "functional": "GGA-PBE",
  "state": "optimized geometry",
  "cell": [[4.201, 0.000, 0.000], [0.000, 4.201, 0.000], [0.000, 0.000, 5.938]],
  "species": ["Cs", "Rb", "F", "F"],
  "fractional_positions": [[0.000, 0.000, 0.000], [0.500, 0.500, 0.500], [0.000, 0.000, 0.500], [0.500, 0.500, 0.000]]
}

---

--- b ---
{
  "formula": "CsRbF2",
  "functional": "GGA-PBE",
  "state": "optimized geometry",
  "cell": [[2.041, 1.178, 7.147], [-2.041, 1.178, 7.147], [0.000, -2.357, 7.147]],
  "species": ["Cs", "Rb", "F", "F"],
  "fractional_positions": [[0.000, 0.000, 0.000], [0.169, 0.169, 0.169], [0.580, 0.580, 0.580], [0.756, 0.756, 0.756]]
}

---

--- c ---
{
  "formula": "CsRbF2",
  "functional": "GGA-PBE",
  "state": "optimized geometry",
  "cell": [[2.090, 1.207, 6.839], [-2.090, 1.207, 6.839], [0.000, -2.414, 6.839]],
  "species": ["Cs", "Rb", "F", "F"],
  "fractional_positions": [[0.000, 0.000, 0.000], [0.500, 0.500, 0.500], [0.245, 0.245, 0.245], [0.755, 0.755, 0.755]]
}

---

Which one is most stable, and which one is least stable? c is the most stable of them, while b is the least stable.

---

--- a ---
{
  "formula": "CsRb3F",
  "functional": "GGA-PBE",
  "state": "optimized geometry",
  "cell": [[6.663, 0.000, 0.000], [0.000, 6.663, 0.000], [0.000, 0.000, 6.663]],
  "species": ["Cs", "Rb", "Rb", "Rb", "F"],
  "fractional_positions": [[0.000, 0.000, 0.000], [0.000, 0.500, 0.500], [0.500, 0.000, 0.500], [0.500, 0.500, 0.000], [0.500, 0.500, 0.500]]
}

---

--- b ---
{
  "formula": "CsRb3F",
  "functional": "GGA-PBE",
  "state": "optimized geometry",
  "cell": [[10.200, 0.000, 0.000], [0.000, 10.200, 0.000], [0.000, 0.000, 10.200]],
  "species": ["Cs", "Rb", "Rb", "Rb", "F"],
  "fractional_positions": [[0.000, 0.000, 0.000], [0.000, 0.000, 0.500], [0.000, 0.500, 0.000], [0.500, 0.000, 0.000], [0.500, 0.500, 0.500]]
}

---

Which one is most stable, and which one is least stable? a is the most stable of them, while b is the least stable.

---

--- a ---
{
  "formula": "CsRb2RuF6",
  "functional": "GGA-PBE",
  "state": "optimized geometry",
  "cell": [[6.193, 0.000, 0.000], [0.000, 9.433, 0.000], [0.000, 0.000, 7.709]],
  "species": ["Cs", "Cs", "Rb", "Rb", "Rb", "Rb", "Ru", "Ru", "F", "F", "F", "F", "F", "F", "F", "F", "F", "F", "F", "F"],
  "fractional_positions": [[0.250, 0.250, 0.172], [0.750, 0.750, 0.828], [0.250, 0.040, 0.669], [0.250, 0.460, 0.669], [0.750, 0.540, 0.331], [0.750, 0.960, 0.331], [0.250, 0.750, 0.318], [0.750, 0.250, 0.682], [0.014, 0.750, 0.137], [0.022, 0.750, 0.509], [0.250, 0.534, 0.317], [0.250, 0.966, 0.317], [0.478, 0.750, 0.509], [0.486, 0.750, 0.137], [0.514, 0.250, 0.863], [0.522, 0.250, 0.491], [0.750, 0.034, 0.683], [0.750, 0.466, 0.683], [0.978, 0.250, 0.491], [0.986, 0.250, 0.863]]
}

---

--- b ---
{
  "formula": "CsRb2RuF6",
  "functional": "GGA-PBE",
  "state": "optimized geometry",
  "cell": [[0.000, 4.791, 4.791], [4.791, 0.000, 4.791], [4.791, 4.791, 0.000]],
  "species": ["Cs", "Rb", "Rb", "Ru", "F", "F", "F", "F", "F", "F"],
  "fractional_positions": [[0.000, 0.000, 0.000], [0.250, 0.250, 0.250], [0.750, 0.750, 0.750], [0.500, 0.500, 0.500], [0.289, 0.289, 0.711], [0.289, 0.711, 0.289], [0.289, 0.711, 0.711], [0.711, 0.289, 0.289], [0.711, 0.289, 0.711], [0.711, 0.711, 0.289]]
}

---

Which one is most stable, and which one is least stable? a is the most stable of them, while b is the least stable.

---

--- a ---
{
  "formula": "CsRb2SeF",
  "functional": "GGA-PBE",
  "state": "optimized geometry",
  "cell": [[2.426, -7.920, 0.000], [2.426, 7.920, 0.000], [0.000, 0.000, 10.146]],
  "species": ["Cs", "Cs", "Rb", "Rb", "Rb", "Rb", "Se", "Se", "F", "F"],
  "fractional_positions": [[0.062, 0.938, 0.750], [0.938, 0.062, 0.250], [0.338, 0.662, 0.563], [0.338, 0.662, 0.937], [0.662, 0.338, 0.063], [0.662, 0.338, 0.437], [0.258, 0.742, 0.250], [0.742, 0.258, 0.750], [0.500, 0.500, 0.000], [0.500, 0.500, 0.500]]
}

---

--- b ---
{
  "formula": "CsRb2SeF",
  "functional": "GGA-PBE",
  "state": "optimized geometry",
  "cell": [[5.512, 0.000, 0.000], [0.000, 5.512, 0.000], [0.000, 0.000, 5.709]],
  "species": ["Cs", "Rb", "Rb", "Se", "F"],
  "fractional_positions": [[0.000, 0.000, 0.000], [0.000, 0.500, 0.500], [0.500, 0.000, 0.500], [0.500, 0.500, 0.000], [0.000, 0.000, 0.500]]
}

---

Which one is most stable, and which one is least stable? b is the most stable of them, while a is the least stable.

---

--- a ---
{
  "formula": "Cs2RbSeF6",
  "functional": "GGA-PBE",
  "state": "optimized geometry",
  "cell": [[-3.286, 3.286, 5.349], [3.286, -3.286, 5.349], [3.286, 3.286, -5.349]],
  "species": ["Cs", "Cs", "Rb", "Se", "F", "F", "F", "F", "F", "F"],
  "fractional_positions": [[0.250, 0.750, 0.500], [0.750, 0.250, 0.500], [0.000, 0.000, 0.000], [0.500, 0.500, 0.000], [0.252, 0.252, 0.000], [0.289, 0.289, 0.578], [0.289, 0.711, 0.000], [0.711, 0.289, 0.000], [0.711, 0.711, 0.422], [0.748, 0.748, 0.000]]
}

---

--- b ---
{
  "formula": "Cs2RbSeF6",
  "functional": "GGA-PBE",
  "state": "optimized geometry",
  "cell": [[3.556, 2.053, 10.785], [-3.556, 2.053, 10.785], [0.000, -4.106, 10.785]],
  "species": ["Cs", "Cs", "Cs", "Cs", "Rb", "Rb", "Se", "Se", "F", "F", "F", "F", "F", "F", "F", "F", "F", "F", "F", "F"],
  "fractional_positions": [[0.133, 0.133, 0.133], [0.259, 0.259, 0.259], [0.741, 0.741, 0.741], [0.867, 0.867, 0.867], [0.404, 0.404, 0.404], [0.596, 0.596, 0.596], [0.000, 0.000, 0.000], [0.500, 0.500, 0.500], [0.133, 0.637, 0.637], [0.165, 0.165, 0.775], [0.165, 0.775, 0.165], [0.225, 0.835, 0.835], [0.363, 0.363, 0.867], [0.363, 0.867, 0.363], [0.637, 0.133, 0.637], [0.637, 0.637, 0.133], [0.775, 0.165, 0.165], [0.835, 0.225, 0.835], [0.835, 0.835, 0.225], [0.867, 0.363, 0.363]]
}

---

Which one is most stable, and which one is least stable? a is the most stable of them, while b is the least stable.

---

--- a ---
{
  "formula": "Cs2RbSeF",
  "functional": "GGA-PBE",
  "state": "optimized geometry",
  "cell": [[5.764, 0.000, 0.000], [0.000, 5.764, 0.000], [0.000, 0.000, 5.530]],
  "species": ["Cs", "Cs", "Rb", "Se", "F"],
  "fractional_positions": [[0.000, 0.500, 0.000], [0.500, 0.000, 0.000], [0.000, 0.000, 0.500], [0.500, 0.500, 0.500], [0.000, 0.000, 0.000]]
}

---

--- b ---
{
  "formula": "Cs2RbSeF",
  "functional": "GGA-PBE",
  "state": "optimized geometry",
  "cell": [[2.429, -8.354, 0.000], [2.429, 8.354, 0.000], [0.000, 0.000, 10.801]],
  "species": ["Cs", "Cs", "Cs", "Cs", "Rb", "Rb", "Se", "Se", "F", "F"],
  "fractional_positions": [[0.158, 0.842, 0.566], [0.158, 0.842, 0.934], [0.842, 0.158, 0.066], [0.842, 0.158, 0.434], [0.417, 0.583, 0.750], [0.583, 0.417, 0.250], [0.230, 0.770, 0.250], [0.770, 0.230, 0.750], [0.000, 0.000, 0.000], [0.000, 0.000, 0.500]]
}

---

Which one is most stable, and which one is least stable? a is the most stable of them, while b is the least stable.